A relaxed InGaAsS crystal. Source: the Alexandria database, functional PBE.

Calculated values
As for the crystal system: monoclinic. The value obtained for the energy relative to the elements, uncorrected is -0.169 eV/atom. The value obtained for the energy is -3.805 eV/atom. The total moment comes out at 0.00 μB/f.u.

Cell and atoms, written as CIF:
```
data_InGaAsS
_cell_length_a 3.603
_cell_length_b 3.603
_cell_length_c 9.383
_cell_angle_alpha 90.91
_cell_angle_beta 90.91
_cell_angle_gamma 62.00
_symmetry_space_group_name_H-M 'P 1'
_symmetry_Int_Tables_number 1
_symmetry_space_group_name_Hall 'P 1'
loop_
_atom_site_label
_atom_site_fract_x
_atom_site_fract_y
_atom_site_fract_z
As1 0.574 0.574 0.036
Ga1 0.240 0.240 0.505
S1 0.906 0.906 0.621
In1 0.237 0.237 0.222
```